This record from Alexandria via LeMat-Bulk describes VTe2F after structural relaxation. The functional is PBE+U.

Geometry as POSCAR:
```
VTe2F
1.0
2.116 1.222 7.250
-2.116 1.222 7.250
0.000 -2.444 7.250
V Te F
1 2 1
Cartesian
0.000 0.000 0.000 V
0.000 0.000 8.595 Te
0.000 0.000 13.156 Te
0.000 0.000 10.875 F
```

Raw total energy: -4.329 eV/atom
Mass density: 4.80 g/cm3
Total moment: 2.05 Bohr magnetons per cell
Space-group type: No. 166


This record from Alexandria via LeMat-Bulk describes VTe3F after structural relaxation. The functional is PBE+U.

Geometry as POSCAR:
```
VTe3F
1.0
4.996 0.000 0.000
0.000 4.996 0.000
0.000 0.000 4.996
V Te F
1 3 1
Cartesian
0.000 0.000 0.000 V
0.000 2.498 2.498 Te
2.498 0.000 2.498 Te
2.498 2.498 0.000 Te
2.498 2.498 2.498 F
```

Raw total energy: -3.411 eV/atom
Mass density: 6.03 g/cm3
Total moment: 3.15 Bohr magnetons per cell
Space-group type: No. 221


This record from Alexandria via LeMat-Bulk describes VTeF2 after structural relaxation. The functional is PBE+U.

Geometry as POSCAR:
```
VTeF2
1.0
1.630 0.941 9.700
-1.630 0.941 9.700
0.000 -1.882 9.700
V Te F
1 1 2
Cartesian
0.000 0.000 0.000 V
0.000 0.000 14.550 Te
0.000 0.000 10.678 F
0.000 0.000 18.422 F
```

Raw total energy: -5.394 eV/atom
Mass density: 4.03 g/cm3
Total moment: 2.99 Bohr magnetons per cell
Space-group type: No. 166


> raw total energy of number 1 (VTe2F)?

-4.329 eV/atom


> The highest raw total energy belongs to which entry?

VTe3F


> What is the raw total energy in the second record?

-3.411 eV/atom


> The lowest mass density belongs to which entry?

VTeF2